(1)
# CaCr3S

A relaxed CaCr3S crystal (PBE, the Alexandria database).

Cell lengths 4.305, 4.305, 4.305 Å; angles 90.00, 90.00, 90.00 degrees
Space group Pm-3m (No. 221)
Asymmetric unit:
1 Ca 0.000 0.000 0.000 [1 per cell]
2 Cr 0.000 0.500 0.500 [3 per cell]
3 S 0.500 0.500 0.500 [1 per cell]

(2)
# CaCr3S

A relaxed CaCr3S crystal (PBE, the Alexandria database).

Cell lengths 4.398, 4.398, 4.398 Å; angles 90.00, 90.00, 90.00 degrees
Space group Pm-3m (No. 221)
Asymmetric unit:
1 Ca 0.000 0.000 0.000 [1 per cell]
2 Cr 0.000 0.000 0.500 [3 per cell]
3 S 0.500 0.500 0.500 [1 per cell]

Most stable to least stable, the ends of the list are (1) and (2).